[1]
NdErN: relaxed, PBE.

The structure in POSCAR format:
```
NdErN
1.0
7.6220 0.0000 0.0000
0.0000 3.9529 0.0000
0.0000 1.9765 6.0458
Nd Er N
2 2 2
Direct
0.7500 0.7376 0.5248
0.2500 0.2624 0.4752
0.5000 0.0000 0.0000
0.0000 0.0000 0.0000
0.7500 0.9135 0.1730
0.2500 0.0865 0.8270
```

The value obtained for the total energy is -6.276 eV per atom. The calculation puts the excess energy over the best structure of this formula in the dataset at 569 meV per atom. The calculation puts the energy relative to the elements, uncorrected at -1.17 eV per formula unit. The value obtained for the total moment is 0.0 Bohr magnetons per cell. The theoretical density is 5.93 g/cm³.

[2]
Nd3PuP4: relaxed, PBE.

The structure in POSCAR format:
```
Nd3PuP4
1.0
4.1299 0.0000 0.0000
0.0000 7.1354 -0.0684
0.0000 -2.3145 6.7499
Nd Pu P
3 1 4
Direct
0.0000 0.0000 0.5000
0.5000 0.5000 0.5000
0.0000 0.5000 0.0000
0.5000 0.0000 0.0000
0.0000 0.2396 0.2396
0.5000 0.7552 0.2448
0.0000 0.7604 0.7604
0.5000 0.2448 0.7552
```

The value obtained for the total energy is -7.710 eV per atom. The calculation puts the excess energy over the best structure of this formula in the dataset at 0 meV per atom. For the formation energy, the calculation gives -1425 meV per atom. The value obtained for the total moment is 4.9 Bohr magnetons per cell. The theoretical density is 6.71 g/cm³.

[3]
VP2Pd: relaxed, PBE.

The structure in POSCAR format:
```
VP2Pd
1.0
-0.2996 -2.1904 2.2829
1.5813 -2.7481 -0.2173
5.6439 1.0936 4.0019
V P Pd
1 2 1
Direct
0.6603 0.6603 0.0191
0.0733 0.0733 0.7802
0.2553 0.2553 0.2342
0.5111 0.5111 0.4666
```

The value obtained for the total energy is -6.592 eV per atom. The calculation puts the excess energy over the best structure of this formula in the dataset at 0 meV per atom. For the formation energy, the calculation gives -310 meV per atom. The value obtained for the total moment is 0.0 Bohr magnetons per cell. The theoretical density is 6.16 g/cm³.

[4]
YPuGa2O8: relaxed, PBE.

The structure in POSCAR format:
```
YPuGa2O8
1.0
-3.4711 3.0656 -1.2410
-1.8282 0.5433 4.3985
3.7061 5.7394 1.4871
Y Pu Ga O
1 1 2 8
Direct
0.0000 0.0000 0.5000
0.0000 0.0000 0.0000
0.4625 0.4625 0.7035
0.5375 0.5375 0.2965
0.2180 0.7945 0.2292
0.7351 0.7349 0.0490
0.7943 0.2178 0.2293
0.7820 0.2055 0.7708
0.2649 0.2651 0.9510
0.2057 0.7822 0.7707
0.6829 0.6828 0.5069
0.3171 0.3172 0.4931
```

The value obtained for the total energy is -7.810 eV per atom. The calculation puts the energy relative to the elements, uncorrected at -27.20 eV per formula unit. The value obtained for the total moment is 1.0 Bohr magnetons per cell. The theoretical density is 6.28 g/cm³.

[5]
AcC2O6F2: relaxed, PBE.

The structure in POSCAR format:
```
AcC2O6F2
1.0
-0.5228 0.0732 -4.6745
-3.4345 -1.7062 2.7244
-3.2510 7.3075 0.4781
Ac C O F
1 2 6 2
Direct
0.0000 0.0000 0.0000
0.3333 0.6667 0.7004
0.6667 0.3333 0.2996
0.1776 0.3554 0.6995
0.6446 0.8222 0.6995
0.1778 0.8224 0.6995
0.8224 0.6446 0.3005
0.3554 0.1778 0.3005
0.8222 0.1776 0.3005
0.6667 0.3333 0.9698
0.3333 0.6667 0.0302
```

The value obtained for the total energy is -6.787 eV per atom. The calculation puts the energy relative to the elements, uncorrected at -18.61 eV per formula unit. The value obtained for the total moment is 1.0 Bohr magnetons per cell. The theoretical density is 4.16 g/cm³.

[6]
Sc2TiGa4: relaxed, PBE.

The structure in POSCAR format:
```
Sc2TiGa4
1.0
-3.7029 0.3330 -2.9920
-2.3938 -3.2018 2.6062
0.3600 6.6225 4.0973
Sc Ti Ga
2 1 4
Direct
0.6172 0.6172 0.2344
0.3828 0.3828 0.7656
0.0000 0.0000 0.0000
0.8173 0.8173 0.6346
0.1827 0.1827 0.3654
0.0000 0.5000 0.0000
0.5000 0.0000 0.0000
```

The value obtained for the total energy is -4.674 eV per atom. For the formation energy, the calculation gives -7 meV per atom. The value obtained for the total moment is 0.1 Bohr magnetons per cell. The theoretical density is 4.32 g/cm³.

[7]
SrTcO2: relaxed, PBE.

The structure in POSCAR format:
```
SrTcO2
1.0
-1.3195 2.1940 5.8041
-2.0163 -1.5891 5.8010
1.5921 -0.2983 6.1334
Sr Tc O
1 1 2
Direct
0.5000 0.5000 0.5000
0.0000 0.0000 0.0000
0.8979 0.8979 0.8979
0.1021 0.1021 0.1021
```

The value obtained for the total energy is -6.922 eV per atom. The calculation puts the excess energy over the best structure of this formula in the dataset at 0 meV per atom. The calculation puts the energy relative to the elements, uncorrected at -5.72 eV per formula unit. The value obtained for the total moment is 0.1 Bohr magnetons per cell. The theoretical density is 4.75 g/cm³.

[8]
RbCdSiAg2: relaxed, PBE.

The structure in POSCAR format:
```
RbCdSiAg2
1.0
-3.3985 -2.3948 -2.8393
2.9094 0.6761 -4.0527
2.4528 -4.6489 0.9853
Si Rb Ag Cd
1 1 2 1
Direct
0.0000 0.0000 0.0000
0.5000 0.5000 0.5000
0.0000 0.5000 0.0000
0.5000 0.0000 0.0000
0.0000 0.0000 0.5000
```

The value obtained for the total energy is -2.472 eV per atom. The calculation puts the excess energy over the best structure of this formula in the dataset at 0 meV per atom. The calculation puts the energy relative to the elements, uncorrected at 0.65 eV per formula unit. The value obtained for the total moment is 0.0 Bohr magnetons per cell. The theoretical density is 5.41 g/cm³.